Material: HgGeRuO6
Method: DFT, PBE
State: relaxed

abc: 5.1446 5.1446 4.9110
angles: 90.00 90.00 120.00
Space group P312 (No. 149)
Asymmetric unit:
Hg 0.0000 0.0000 0.0000 x1
Ge 0.6667 0.3333 0.5000 x1
Ru 0.3333 0.6667 0.5000 x1
O 0.3804 0.0026 0.7164 x6

## Properties
For the total magnetic moment, the calculation gives 1.6 μB/f.u. As for the crystal system: trigonal. The formation energy without anion corrections is -0.88 eV per atom.